VASP calculation (GGA-PBE) on CsBeP after structural relaxation.

```
CsBeP
1.0
3.8106 0.0000 0.0000
1.9033 6.6897 0.0000
1.9048 -0.4896 8.8724
Cs Be P
2 2 2
Direct
0.0000 0.0000 0.0000
0.4990 0.4986 0.4991
0.2827 0.4988 0.9323
0.7144 0.5020 0.0657
0.1879 0.4514 0.1694
0.8092 0.5496 0.8287
```

The value obtained for the density of states at the Fermi level is 0.00 states/eV per cell.

***

VASP calculation (GGA-PBE) on CsBeP after structural relaxation.

```
CsBeP
1.0
3.8414 0.0000 0.0000
1.8788 7.1661 0.0000
1.9001 0.3301 7.1562
Cs Be P
2 2 2
Direct
0.0000 0.0000 0.0000
0.5000 0.5001 0.5004
0.2515 0.0068 0.4932
0.7535 0.5068 0.9938
0.2534 0.4632 0.0371
0.7513 0.9633 0.5367
```

The value obtained for the density of states at the Fermi level is 0.00 states/eV per cell.

***

VASP calculation (GGA-PBE) on CsBeP after structural relaxation.

```
CsBeP
1.0
3.7994 0.0000 0.0000
-1.8997 3.2904 0.0000
0.0000 0.0000 5.8733
Cs Be P
1 1 1
Direct
0.0000 0.0000 0.0000
0.6667 0.3333 0.5000
0.3333 0.6667 0.5000
```

***

VASP calculation (GGA-PBE) on CsBeP after structural relaxation.

```
CsBeP
1.0
3.7676 -3.6332 0.0000
3.7676 3.6332 0.0000
-1.1895 0.0000 3.6737
Cs Be P
1 1 1
Direct
0.0000 0.0000 0.0000
0.5073 0.5073 0.2628
0.4603 0.4603 0.7338
```

***

no.,energy of formation from the pure elements (kJ/mol of atoms)
1,-36.45
2,-16.75
3,-30.44
4,-15.87